(1)
La4Nd2TmTh after structural relaxation. Source: the Alexandria database, functional PBE-GGA.

Geometry as POSCAR:
```
La4Nd2TmTh
1.0
6.151 0.000 0.000
0.000 6.166 0.000
0.000 0.000 7.357
La Nd Tm Th
4 2 1 1
Cartesian
0.000 0.000 1.724
0.000 0.000 5.633
3.075 3.083 1.745
3.075 3.083 5.612
0.000 3.083 3.679
3.075 0.000 0.000
3.075 0.000 3.679
0.000 3.083 0.000
```

## Properties
- total moment (μB/f.u.) = 0.0
- electronic total energy (eV per atom) = -5.016
- N(E_F) (states/eV per cell) = 15.88
- space group = Pmmm, No. 47
- ΔE_f (eV per atom) = 0.13

=====

(2)
LaNd5Tm2Th after structural relaxation. Source: the Alexandria database, functional PBE-GGA.

Geometry as POSCAR:
```
LaNd5Tm2Th
1.0
2.863 -10.170 0.000
2.863 10.170 0.000
0.000 0.000 10.640
La Nd Tm Th
2 10 4 2
Cartesian
2.863 8.431 5.320
2.863 -8.431 0.000
2.863 9.706 8.450
2.863 7.824 0.867
2.863 5.921 8.047
2.863 5.655 3.937
2.863 0.310 0.837
2.863 -0.310 6.157
2.863 -5.655 9.257
2.863 -5.921 2.727
2.863 -7.824 6.187
2.863 -9.706 3.130
2.863 2.356 3.953
2.863 2.273 8.426
2.863 -2.273 3.106
2.863 -2.356 9.273
2.863 4.035 0.723
2.863 -4.035 6.043
```

## Properties
- total moment (μB/f.u.) = 0.0
- electronic total energy (eV per atom) = -4.853
- N(E_F) (states/eV per cell) = 26.04
- space group = Cmc2_1, No. 36
- ΔE_f (eV per atom) = 0.16

=====

(3)
LaNdTmTh after structural relaxation. Source: the Alexandria database, functional PBE-GGA.

Geometry as POSCAR:
```
LaNdTmTh
1.0
3.621 0.000 0.000
0.000 3.621 0.000
0.000 0.000 10.264
La Nd Tm Th
1 1 1 1
Cartesian
0.000 0.000 0.000
1.811 1.811 7.478
1.811 1.811 2.625
0.000 0.000 4.995
```

## Properties
- energy relative to the lowest polymorph listed for this composition (meV/atom) = 0
- total moment (μB/f.u.) = 0.0
- electronic total energy (eV per atom) = -5.368
- N(E_F) (states/eV per cell) = 5.07
- space group = P4mm, No. 99
- ΔE_f (eV per atom) = 0.03

=====

(4)
La6NdTmTh2 after structural relaxation. Source: the Alexandria database, functional PBE-GGA.

Geometry as POSCAR:
```
La6NdTmTh2
1.0
4.568 -7.471 0.000
4.568 7.471 0.000
-2.851 0.000 10.383
La Nd Tm Th
12 2 2 4
Cartesian
2.152 4.158 1.743
2.321 4.725 5.650
2.540 4.725 9.925
2.663 1.441 3.987
5.559 4.158 3.448
5.048 1.441 1.204
1.238 -1.441 9.179
0.727 -4.158 6.935
3.623 -1.441 6.396
3.746 -4.725 0.459
3.965 -4.725 4.733
4.134 -4.158 8.640
3.856 7.362 2.596
2.430 -7.362 7.787
2.430 1.483 7.787
3.856 -1.483 2.596
1.898 0.573 0.480
0.473 -0.573 5.672
5.814 0.573 4.711
4.388 -0.573 9.903
```

## Properties
- total moment (μB/f.u.) = 0.0
- electronic total energy (eV per atom) = -5.229
- N(E_F) (states/eV per cell) = 31.93
- space group = C2/c, No. 15
- ΔE_f (eV per atom) = 0.14

=====

(5)
LaNd2Tm5Th after structural relaxation. Source: the Alexandria database, functional PBE-GGA.

Geometry as POSCAR:
```
LaNd2Tm5Th
1.0
-4.329 4.329 7.751
4.329 -4.329 7.751
4.329 4.329 -7.751
La Nd Tm Th
2 4 10 2
Cartesian
4.329 0.000 3.875
0.000 4.329 3.875
5.340 1.011 0.000
1.011 3.319 0.000
3.319 1.011 7.751
-1.011 3.319 7.751
0.000 0.000 0.000
2.494 1.835 -2.138
2.494 -1.835 5.613
2.494 1.835 2.138
2.494 -1.835 9.889
0.000 0.000 7.751
1.835 6.164 -2.138
1.835 2.494 5.613
1.835 6.164 2.138
1.835 2.494 9.889
0.000 0.000 3.875
0.000 0.000 11.626
```

## Properties
- total moment (μB/f.u.) = 0.0
- electronic total energy (eV per atom) = -4.638
- N(E_F) (states/eV per cell) = 20.14
- space group = I4/mcm, No. 140
- ΔE_f (eV per atom) = 0.28

=====

(6)
LaNdTm3Th after structural relaxation. Source: the Alexandria database, functional PBE-GGA.

Geometry as POSCAR:
```
LaNdTm3Th
1.0
9.791 -2.819 0.000
9.791 2.819 0.000
-0.022 0.000 7.118
La Nd Tm Th
2 2 6 2
Cartesian
2.848 0.000 3.238
16.712 0.000 3.880
2.914 0.000 0.259
16.646 0.000 6.859
0.455 0.000 5.373
5.444 0.000 5.312
6.723 0.000 1.737
12.837 0.000 5.381
14.116 0.000 1.806
19.105 0.000 1.744
8.755 0.000 5.477
10.805 0.000 1.640
```

## Properties
- total moment (μB/f.u.) = 0.0
- electronic total energy (eV per atom) = -4.867
- N(E_F) (states/eV per cell) = 16.31
- space group = C2/m, No. 12
- ΔE_f (eV per atom) = 0.22

=====

(7)
LaNdTmTh after structural relaxation. Source: the Alexandria database, functional PBE-GGA.

Geometry as POSCAR:
```
LaNdTmTh
1.0
0.000 4.074 4.074
4.074 0.000 4.074
4.074 4.074 0.000
La Nd Tm Th
1 1 1 1
Cartesian
0.000 0.000 0.000
4.074 4.074 4.074
6.110 6.110 6.110
2.037 2.037 2.037
```

## Properties
- energy relative to the lowest polymorph listed for this composition (meV/atom) = 184
- total moment (μB/f.u.) = 0.4
- electronic total energy (eV per atom) = -5.185
- N(E_F) (states/eV per cell) = 11.42
- space group = F-43m, No. 216
- ΔE_f (eV per atom) = 0.21

=====

(8)
LaNd4Tm2Th after structural relaxation. Source: the Alexandria database, functional PBE-GGA.

Geometry as POSCAR:
```
LaNd4Tm2Th
1.0
5.773 -2.561 0.000
5.773 2.561 0.000
-4.567 0.000 9.162
La Nd Tm Th
1 4 2 1
Cartesian
0.000 0.000 0.000
-1.109 0.000 7.975
1.187 0.000 3.474
5.791 0.000 5.688
8.087 0.000 1.187
4.577 0.000 2.347
2.402 0.000 6.815
-2.283 0.000 4.581
```

## Properties
- total moment (μB/f.u.) = 0.0
- electronic total energy (eV per atom) = -5.001
- N(E_F) (states/eV per cell) = 14.00
- space group = C2/m, No. 12
- ΔE_f (eV per atom) = 0.04

=====

(9)
LaNdTm5Th2 after structural relaxation. Source: the Alexandria database, functional PBE-GGA.

Geometry as POSCAR:
```
LaNdTm5Th2
1.0
-4.452 4.452 7.556
4.452 -4.452 7.556
4.452 4.452 -7.556
La Nd Tm Th
2 2 10 4
Cartesian
0.000 0.000 3.778
0.000 0.000 11.334
4.452 0.000 3.778
0.000 4.452 3.778
0.000 0.000 0.000
6.279 1.828 -2.043
1.828 2.624 -2.043
6.279 1.828 2.043
1.828 2.624 2.043
0.000 0.000 7.556
2.624 1.828 5.512
-1.828 2.624 5.512
2.624 1.828 9.599
-1.828 2.624 9.599
3.396 1.055 0.000
3.396 -1.055 7.556
1.055 5.507 0.000
1.055 3.396 7.556
```

## Properties
- total moment (μB/f.u.) = 0.0
- electronic total energy (eV per atom) = -4.893
- N(E_F) (states/eV per cell) = 24.97
- space group = I4/mcm, No. 140
- ΔE_f (eV per atom) = 0.32

=====

(10)
La6NdTm2Th after structural relaxation. Source: the Alexandria database, functional PBE-GGA.

Geometry as POSCAR:
```
La6NdTm2Th
1.0
4.698 -7.592 0.000
4.698 7.592 0.000
-1.689 0.000 9.871
La Nd Tm Th
12 2 4 2
Cartesian
2.365 4.265 1.876
3.095 4.906 5.486
3.768 4.906 9.320
3.155 1.560 3.739
6.187 4.265 3.059
5.397 1.560 1.197
2.310 -1.560 8.674
1.520 -4.265 6.812
4.552 -1.560 6.132
3.939 -4.906 0.551
4.613 -4.906 4.385
5.343 -4.265 7.995
4.276 7.224 2.468
3.431 -7.224 7.403
2.180 0.684 0.485
1.336 -0.684 5.421
6.372 0.684 4.450
5.527 -0.684 9.385
3.431 1.430 7.403
4.276 -1.430 2.468
```

## Properties
- total moment (μB/f.u.) = 0.0
- electronic total energy (eV per atom) = -4.945
- N(E_F) (states/eV per cell) = 29.35
- space group = C2/c, No. 15
- ΔE_f (eV per atom) = 0.12

=====

(11)
LaNdYTh after structural relaxation. Source: the Alexandria database, functional PBE-GGA.

Geometry as POSCAR:
```
LaNdYTh
1.0
0.000 4.094 4.094
4.094 0.000 4.094
4.094 4.094 0.000
La Nd Y Th
1 1 1 1
Cartesian
0.000 0.000 0.000
4.094 4.094 4.094
2.047 2.047 2.047
6.141 6.141 6.141
```

## Properties
- energy relative to the lowest polymorph listed for this composition (meV/atom) = 166
- total moment (μB/f.u.) = 0.0
- electronic total energy (eV per atom) = -5.688
- N(E_F) (states/eV per cell) = 11.90
- space group = F-43m, No. 216
- ΔE_f (eV per atom) = 0.21

=====

(12)
LaNdY5Th2 after structural relaxation. Source: the Alexandria database, functional PBE-GGA.

Geometry as POSCAR:
```
LaNdY5Th2
1.0
-4.482 4.482 7.691
4.482 -4.482 7.691
4.482 4.482 -7.691
La Nd Y Th
2 2 10 4
Cartesian
0.000 0.000 3.846
0.000 0.000 11.537
4.482 0.000 3.846
0.000 4.482 3.846
0.000 0.000 0.000
6.328 1.846 -2.077
1.846 2.637 -2.077
6.328 1.846 2.077
1.846 2.637 2.077
0.000 0.000 7.691
2.637 1.846 5.614
-1.846 2.637 5.614
2.637 1.846 9.768
-1.846 2.637 9.768
3.424 1.058 0.000
3.424 -1.058 7.691
1.058 5.540 0.000
1.058 3.424 7.691
```

## Properties
- total moment (μB/f.u.) = 0.0
- electronic total energy (eV per atom) = -6.014
- N(E_F) (states/eV per cell) = 25.31
- space group = I4/mcm, No. 140
- ΔE_f (eV per atom) = 0.30

=====

Repeat the sixth record exactly.
LaNdTm3Th after structural relaxation. Source: the Alexandria database, functional PBE-GGA.

Geometry as POSCAR:
```
LaNdTm3Th
1.0
9.791 -2.819 0.000
9.791 2.819 0.000
-0.022 0.000 7.118
La Nd Tm Th
2 2 6 2
Cartesian
2.848 0.000 3.238
16.712 0.000 3.880
2.914 0.000 0.259
16.646 0.000 6.859
0.455 0.000 5.373
5.444 0.000 5.312
6.723 0.000 1.737
12.837 0.000 5.381
14.116 0.000 1.806
19.105 0.000 1.744
8.755 0.000 5.477
10.805 0.000 1.640
```

## Properties
- total moment (μB/f.u.) = 0.0
- electronic total energy (eV per atom) = -4.867
- N(E_F) (states/eV per cell) = 16.31
- space group = C2/m, No. 12
- ΔE_f (eV per atom) = 0.22